Entry 1:
CsSc2O (PBE, relaxed); uncorrected formation energy = -944.4 meV/atom
1.0
0.0000 4.9057 4.9057
4.9057 0.0000 4.9057
4.9057 4.9057 0.0000
Cs Sc O
2 4 2
Cartesian
1.2264 1.2264 1.2264 Cs
8.5850 8.5850 8.5850 Cs
4.9057 2.4528 2.4528 Sc
2.4528 4.9057 2.4528 Sc
2.4528 2.4528 4.9057 Sc
4.9057 4.9057 4.9057 Sc
3.6793 3.6793 3.6793 O
6.1321 6.1321 6.1321 O

***

Entry 2:
K3Sm2HoO6 (PBE, relaxed); uncorrected formation energy = -2701.6 meV/atom
1.0
3.0714 -5.3202 0.0000
3.0714 5.3202 0.0000
-2.0480 0.0000 6.2811
K Sm Ho O
3 2 1 6
Cartesian
0.0000 0.0000 0.0000 K
3.0714 1.7598 0.0000 K
3.0714 -1.7598 0.0000 K
2.0474 3.5464 3.1406 Sm
2.0474 -3.5464 3.1406 Sm
2.0474 0.0000 3.1406 Ho
1.0476 1.7316 1.9621 O
0.0482 0.0000 4.3170 O
1.0476 -1.7316 1.9621 O
3.0471 1.7316 4.3191 O
4.0465 0.0000 1.9642 O
3.0471 -1.7316 4.3191 O

***

Entry 3:
PmPdCl5 (PBE, relaxed); uncorrected formation energy = -1357.2 meV/atom
1.0
5.6306 -4.0469 0.0000
5.6306 4.0469 0.0000
-3.9397 0.0000 8.6099
Pm Pd Cl
2 2 10
Cartesian
2.6759 3.5023 6.4574 Pm
4.6457 -3.5023 2.1525 Pm
5.6306 0.0000 0.0000 Pd
3.6608 0.0000 4.3049 Pd
5.3564 2.5094 0.2396 Cl
3.9350 2.5094 4.0653 Cl
1.4194 0.2220 3.2140 Cl
-0.5504 -0.2220 7.5189 Cl
2.6759 0.6599 6.4574 Cl
4.6457 -0.6599 2.1525 Cl
7.8720 0.2220 1.0910 Cl
5.9022 -0.2220 5.3959 Cl
3.3866 -2.5094 4.5446 Cl
1.9652 -2.5094 8.3703 Cl

***

Entry 4:
YBiSb (PBE, relaxed); uncorrected formation energy = -316.8 meV/atom
1.0
5.5272 0.0000 0.0000
-2.7636 4.7867 0.0000
0.0000 0.0000 3.2991
Y Bi Sb
1 1 1
Cartesian
0.0000 0.0000 0.0000 Y
0.0000 3.1911 1.6486 Bi
2.7636 1.5956 1.6403 Sb

***

Entry 5:
MnAs2Pt (PBE, relaxed); final energy = -24.7 eV per cell
1.0
4.2824 0.0000 0.0000
0.0000 3.9973 0.0000
-0.6713 0.0000 4.3625
Mn As Pt
1 2 1
Cartesian
0.0000 0.0000 0.0000 Mn
0.7811 1.9986 3.3343 As
2.8300 1.9986 1.0282 As
1.8055 0.0000 2.1812 Pt

***

Entry 6:
LiDyLu (PBE, relaxed); final energy = -10.7 eV per cell
1.0
3.4218 0.0000 0.0000
-1.7109 2.9634 0.0000
0.0000 0.0000 8.2541
Li Dy Lu
1 1 1
Cartesian
0.0000 0.0000 0.0000 Li
0.0000 1.9756 5.4838 Dy
1.7109 0.9878 2.7007 Lu

***

Entry 7:
AcDy3Al8 (PBE, relaxed); final energy = -53.3 eV per cell
1.0
2.8174 1.6266 9.3076
-2.8174 1.6266 9.3076
0.0000 -3.2532 9.3076
Ac Dy Al
1 3 8
Cartesian
0.0000 0.0000 0.0000 Ac
0.0000 0.0000 10.4998 Dy
0.0000 0.0000 13.9306 Dy
0.0000 0.0000 24.4129 Dy
0.0000 0.0000 5.2072 Al
0.0000 -1.6189 16.7702 Al
-1.4020 0.8095 16.7702 Al
-1.4000 -0.8083 21.5883 Al
0.0000 0.0000 19.2185 Al
1.4020 0.8095 16.7703 Al
1.4000 -0.8083 21.5883 Al
0.0000 1.6166 21.5883 Al

***

Entry 8:
PmDy4Er6 (PBE, relaxed); final energy = -98.4 eV per cell
1.0
2.8174 -4.8079 0.0000
2.8174 4.8079 0.0000
0.0000 0.0000 25.5525
Pm Dy Er
2 8 12
Cartesian
2.8174 3.1068 19.1644 Pm
2.8174 -3.1068 6.3881 Pm
2.8174 3.2476 1.0686 Dy
2.8174 3.2476 11.7076 Dy
2.8174 0.1368 3.0973 Dy
2.8174 0.1368 9.6790 Dy
2.8174 -0.1368 15.8735 Dy
2.8174 -0.1368 22.4552 Dy
2.8174 -3.2476 13.8449 Dy
2.8174 -3.2476 24.4839 Dy
2.8174 3.3202 4.6235 Er
2.8174 3.3202 8.1528 Er
2.8174 3.0960 15.3997 Er
2.8174 3.0960 22.9291 Er
2.8174 0.1050 6.3881 Er
2.8174 0.0000 0.0000 Er
2.8174 0.0000 12.7762 Er
2.8174 -0.1050 19.1644 Er
2.8174 -3.0960 2.6234 Er
2.8174 -3.0960 10.1528 Er
2.8174 -3.3202 17.3997 Er
2.8174 -3.3202 20.9290 Er

***

Entry 9:
EuPRh3 (PBE, relaxed); final energy = -40.6 eV per cell
1.0
4.4882 0.0000 0.0000
0.0000 4.4882 0.0000
0.0000 0.0000 4.4882
Eu P Rh
1 1 3
Cartesian
0.0000 0.0000 0.0000 Eu
2.2441 2.2441 2.2441 P
0.0000 2.2441 2.2441 Rh
2.2441 0.0000 2.2441 Rh
2.2441 2.2441 0.0000 Rh

***

Entry 10:
SmCd12Au6 (PBE, relaxed); final energy = -38.2 eV per cell
1.0
6.3240 3.6511 3.1117
-6.3240 3.6511 3.1117
0.0000 -7.3023 3.1117
Sm Cd Au
1 12 6
Cartesian
0.0000 0.0000 0.0000 Sm
-2.4453 -4.2355 4.6675 Cd
-4.8907 0.0000 4.6675 Cd
-1.5606 -0.9010 2.8173 Cd
1.5606 -0.9010 2.8173 Cd
0.0000 1.8020 2.8173 Cd
2.4454 -4.2355 4.6675 Cd
-2.4454 4.2355 4.6675 Cd
0.0000 -1.8020 6.5177 Cd
-1.5606 0.9010 6.5177 Cd
1.5606 0.9010 6.5177 Cd
4.8907 0.0000 4.6675 Cd
2.4454 4.2355 4.6675 Cd
0.0000 -3.0796 3.9843 Au
-2.6670 1.5398 3.9843 Au
-2.6670 -1.5398 5.3507 Au
2.6670 1.5398 3.9843 Au
2.6670 -1.5398 5.3507 Au
0.0000 3.0796 5.3507 Au

***

Entry 11:
BP2N (PBE, relaxed); uncorrected formation energy = 1641.9 meV/atom
1.0
0.0000 2.6896 2.6896
2.6896 0.0000 2.6896
2.6896 2.6896 0.0000
B P N
1 2 1
Cartesian
0.0000 0.0000 0.0000 B
1.3448 1.3448 1.3448 P
4.0345 4.0345 4.0345 P
2.6896 2.6896 2.6896 N

***

Entry 12:
LaY3Er4 (PBE, relaxed); final energy = -85.0 eV per cell
1.0
11.3192 0.0000 0.0000
0.0000 7.2933 0.0000
0.0000 0.0000 6.2765
La Y Er
2 6 8
Cartesian
0.0000 0.9366 0.0000 La
5.6596 6.3566 3.1383 La
0.0000 6.3503 3.1577 Y
2.8210 0.9361 2.1345 Y
2.8386 6.3572 5.2727 Y
5.6596 0.9430 0.0194 Y
8.4806 6.3572 5.2727 Y
8.4982 0.9361 2.1345 Y
0.0000 2.7706 3.1841 Er
0.0000 4.5335 0.0421 Er
2.8028 4.5365 2.1296 Er
2.8568 2.7568 5.2678 Er
5.6596 2.7598 3.1804 Er
5.6596 4.5227 0.0458 Er
8.4624 2.7568 5.2678 Er
8.5164 4.5365 2.1296 Er

***

Entry 13:
PaCdGa (PBE, relaxed); final energy = -27.1 eV per cell
1.0
15.8081 0.0000 0.0000
0.0000 1.5594 2.7019
0.0000 -1.5594 2.7019
Pa Cd Ga
2 2 2
Cartesian
2.5767 0.0000 0.0000 Pa
13.2314 0.0000 0.0000 Pa
5.4415 0.0000 1.7970 Cd
10.3667 0.0000 1.7970 Cd
0.0000 0.0000 1.8030 Ga
7.9041 0.0000 0.0112 Ga

***

Entry 14:
PrPaRuN4 (PBE, relaxed); uncorrected formation energy = -694.2 meV/atom
1.0
5.9618 0.0000 0.0000
0.0000 5.2431 0.0000
-2.2451 0.0000 6.5776
Pr Pa Ru N
2 2 2 8
Cartesian
0.2255 1.3108 2.8979 Pr
3.4911 3.9323 3.6797 Pr
-0.5088 1.3108 6.2817 Pa
4.2254 3.9323 0.2959 Pa
1.1144 3.9323 1.2933 Ru
2.6023 1.3108 5.2843 Ru
-0.4829 3.9323 2.3497 N
-1.7113 3.9323 6.0656 N
1.1390 0.0412 5.1228 N
1.1390 2.5804 5.1228 N
2.5777 2.6628 1.4548 N
2.5777 5.2019 1.4548 N
5.4279 1.3108 0.5120 N
4.1996 1.3108 4.2279 N

***

Entry 15:
ReP4Br (PBE, relaxed); uncorrected formation energy = 1146.1 meV/atom
1.0
0.0000 4.2166 4.2166
4.2166 0.0000 4.2166
4.2166 4.2166 0.0000
Re P Br
1 4 1
Cartesian
0.0000 0.0000 0.0000 Re
2.8921 2.8921 2.8921 P
5.5412 5.5412 2.8921 P
5.5412 2.8921 5.5412 P
2.8921 5.5412 5.5412 P
6.3250 6.3250 6.3250 Br

***

Entry 16:
NaNd5Te4 (PBE, relaxed); uncorrected formation energy = -843.9 meV/atom
1.0
9.4401 0.0000 0.0000
0.0000 10.0866 0.0000
0.0000 0.0000 7.5264
Na Nd Te
2 10 8
Cartesian
2.3600 2.5217 1.6960 Na
7.0800 7.5650 5.8304 Na
0.4213 5.5509 1.8732 Nd
0.4213 9.5790 1.8732 Nd
2.3600 7.5650 6.4342 Nd
4.2987 5.5509 1.8732 Nd
4.2987 9.5790 1.8732 Nd
5.1414 0.5076 5.6532 Nd
5.1414 4.5357 5.6532 Nd
7.0800 2.5217 1.0922 Nd
9.0187 0.5076 5.6532 Nd
9.0187 4.5357 5.6532 Nd
0.0796 7.5650 4.2646 Te
2.3600 0.5028 7.0910 Te
2.3600 4.5406 7.0910 Te
4.6404 7.5650 4.2646 Te
4.7996 2.5217 3.2618 Te
7.0800 5.5461 0.4354 Te
7.0800 9.5839 0.4354 Te
9.3605 2.5217 3.2618 Te

***

Entry 17:
K2ZnRe (PBE, relaxed); final energy = -12.3 eV per cell
1.0
4.5235 -1.3913 0.0000
4.5235 1.3913 0.0000
-0.4168 0.0000 9.9213
K Zn Re
2 1 1
Cartesian
0.0000 0.0000 0.0000 K
1.8904 0.0000 5.5764 K
6.6239 0.0000 2.3893 Zn
4.2019 0.0000 3.1231 Re

***

Entry 18:
AcNd4Tm10 (PBE, relaxed); final energy = -59.9 eV per cell
1.0
-6.4533 6.4533 3.2598
6.4533 -6.4533 3.2598
6.4533 6.4533 -3.2598
Ac Nd Tm
1 4 10
Cartesian
0.0000 0.0000 0.0000 Ac
5.5715 4.1900 0.0000 Nd
2.2633 -0.8818 3.2598 Nd
4.1900 7.3351 0.0000 Nd
0.8818 2.2633 3.2598 Nd
4.7661 -2.6564 1.6249 Tm
9.1097 -1.6872 1.6349 Tm
6.4533 0.0000 1.6299 Tm
3.7969 1.6872 1.6349 Tm
8.1405 2.6564 1.6249 Tm
-1.6872 3.7969 1.6349 Tm
2.6564 4.7661 1.6249 Tm
0.0000 6.4533 1.6299 Tm
-2.6564 8.1405 1.6249 Tm
1.6872 9.1097 1.6349 Tm

***

Entry 19:
HfOsC2 (PBE, relaxed); final energy = -37.5 eV per cell
1.0
0.0000 2.7715 2.7715
2.7715 0.0000 2.7715
2.7715 2.7715 0.0000
Hf Os C
1 1 2
Cartesian
0.0000 0.0000 0.0000 Hf
2.7715 2.7715 2.7715 Os
1.3858 1.3858 1.3858 C
4.1573 4.1573 4.1573 C

***

Entry 20:
Rb2LiZrI (PBE, relaxed); uncorrected formation energy = 407.9 meV/atom
1.0
7.0439 0.0000 0.0000
0.0000 7.0439 0.0000
0.0000 0.0000 5.6448
Rb Li Zr I
2 1 1 1
Cartesian
0.0000 3.5220 0.0000 Rb
3.5220 0.0000 0.0000 Rb
0.0000 0.0000 2.8224 Li
3.5220 3.5220 2.8224 Zr
3.5220 3.5220 0.0000 I

***

What D(E_F) values result from the calculations? In sequence: 1.612; 0.000; 0.293; 1.023; 0.405; 1.101; 0.765; 1.706; 3.351; 0.236; 0.457; 1.662; 1.341; 0.628; 0.021; 0.744; 0.839; 1.817; 0.012; 1.185 states/eV/atom.